# Cd2Ni (SCAN, PBEsol geometry)
# Space-group type   I4/mmm, No. 139
# Energy of formation from the pure elements   0.0728 eV per atom
data_Cd2Ni
_chemical_formula_sum 'Cd2 Ni1'
_cell_length_a 2.9989
_cell_length_b 2.9988
_cell_length_c 5.8794
_cell_angle_alpha 104.84
_cell_angle_beta 104.78
_cell_angle_gamma 90.00
_space_group_name_H-M_alt 'P 1'
_space_group_IT_number 1
loop_
_space_group_symop_operation_xyz
'x,y,z'
loop_
_atom_site_label
_atom_site_type_symbol
_atom_site_fract_x
_atom_site_fract_y
_atom_site_fract_z
Ni1 Ni 0.5000 0.5000 0.0000
Cd1 Cd 0.8523 0.8524 0.7047
Cd2 Cd 0.1477 0.1476 0.2953